No. 1
This record from the Alexandria database describes a relaxed structure of SmMnB. The functional is PBE-GGA.

Formation enthalpy at 0 K, eV per atom: -0.25
Crystal system: tetragonal
Size of the total moment, Bohr magnetons per cell: 2.90

Unit cell a=3.520 b=3.520 c=8.299 alpha=90.00 beta=90.00 gamma=90.00
Atoms (fractional coordinates):
Sm1 0.250 0.250 0.196
Sm2 0.750 0.750 0.804
Mn1 0.250 0.750 0.500
Mn2 0.750 0.250 0.500
B1 0.250 0.250 0.640
B2 0.750 0.750 0.360

No. 2
This record from the Alexandria database describes a relaxed structure of SmMn4B4. The functional is PBE-GGA.

Formation enthalpy at 0 K, eV per atom: -0.42
Crystal system: tetragonal
Size of the total moment, Bohr magnetons per cell: 9.44

Unit cell a=7.089 b=7.089 c=3.919 alpha=90.00 beta=90.00 gamma=90.00
Atoms (fractional coordinates):
Sm1 0.250 0.250 0.250
Sm2 0.750 0.750 0.750
Mn1 0.122 0.634 0.133
Mn2 0.134 0.878 0.633
Mn3 0.366 0.622 0.633
Mn4 0.378 0.866 0.133
Mn5 0.622 0.134 0.867
Mn6 0.634 0.378 0.367
Mn7 0.866 0.122 0.367
Mn8 0.878 0.366 0.867
B1 0.055 0.921 0.137
B2 0.079 0.555 0.637
B3 0.421 0.945 0.637
B4 0.445 0.579 0.137
B5 0.555 0.421 0.863
B6 0.579 0.055 0.363
B7 0.921 0.445 0.363
B8 0.945 0.079 0.863

No. 3
This record from the Alexandria database describes a relaxed structure of SmMnB2. The functional is PBE-GGA.

Formation enthalpy at 0 K, eV per atom: -0.08
Crystal system: trigonal
Size of the total moment, Bohr magnetons per cell: 0.00

Unit cell a=3.523 b=3.523 c=14.440 alpha=90.00 beta=90.00 gamma=120.00
Atoms (fractional coordinates):
Sm1 0.000 0.000 0.000
Sm2 0.333 0.667 0.667
Sm3 0.667 0.333 0.333
Mn1 0.000 0.000 0.500
Mn2 0.333 0.667 0.167
Mn3 0.667 0.333 0.833
B1 0.000 0.000 0.195
B2 0.000 0.000 0.805
B3 0.333 0.667 0.472
B4 0.333 0.667 0.861
B5 0.667 0.333 0.139
B6 0.667 0.333 0.528

No. 4
This record from the Alexandria database describes a relaxed structure of MnSnB3. The functional is PBE-GGA.

Formation enthalpy at 0 K, eV per atom: 0.90
Crystal system: cubic
Size of the total moment, Bohr magnetons per cell: 0.00

Unit cell a=3.981 b=3.981 c=3.981 alpha=90.00 beta=90.00 gamma=90.00
Atoms (fractional coordinates):
Mn1 0.000 0.000 0.000
Sn1 0.500 0.500 0.500
B1 0.000 0.000 0.500
B2 0.000 0.500 0.000
B3 0.500 0.000 0.000